PBE-GGA HfSiPt, optimized geometry; calculated total energy = -99.1 eV for the cell shown; total magnetic moment = 0.00 μB per cell
1.0
-2.448 4.606 4.037
0.823 -2.257 3.074
6.848 3.192 0.510
Pt Si Hf
4 4 4
direct
0.646 0.750 0.065
0.354 0.250 0.935
0.146 0.750 0.435
0.854 0.250 0.565
0.240 0.250 0.622
0.760 0.750 0.378
0.260 0.750 0.122
0.740 0.250 0.878
0.026 0.750 0.823
0.526 0.750 0.677
0.474 0.250 0.323
0.974 0.250 0.177